# PuZnMo

A relaxed PuZnMo crystal (PBE, OQMD).

- Formation energy from the elements: 3.098 eV per formula unit
- Space-group type: F-43m

Lattice parameters (Å, degrees): 4.3962 4.3962 4.3962 60.00 60.00 60.00
Site moments in Bohr magnetons follow the coordinates.
Atoms (fractional coordinates):
Zn  0.0000  0.0000  0.0000  0.08
Mo  0.5000  0.5000  0.5000  -0.87
Pu  0.2500  0.2500  0.2500  4.49